Density functional theory data (PBE-GGA) for an optimized crystal structure of Re2HgAs.

Properties
Spin magnetization: 0.57 μB per cell
E: -6.845 eV per atom
ΔE to the lowest computed polymorph: 340 meV/atom
Calculated formation energy: 0.6173 eV/atom

a b c (Å): 9.0134 9.0134 9.0134
angles (deg): 18.71 18.71 18.71
Sites, in units of the cell vectors:
As 0.2500 0.2500 0.2500
Re 0.9896 0.9896 0.9896
Hg 0.7500 0.7500 0.7500
Re 0.5104 0.5104 0.5104



Density functional theory data (PBE-GGA) for an optimized crystal structure of Hf6Bi3Rh.

Properties
Spin magnetization: 0.00 μB per cell
E: -7.892 eV per atom
Calculated formation energy: -0.0206 eV/atom

a b c (Å): 6.9812 7.5307 9.1961
angles (deg): 90.00 87.48 90.00
Sites, in units of the cell vectors:
Bi 0.0000 0.0000 0.5000
Hf 0.3788 0.8173 0.4594
Hf 0.1641 0.3567 0.4636
Hf 0.2438 0.0806 0.7596
Bi 0.9044 0.3587 0.7516
Hf 0.8359 0.6433 0.5364
Hf 0.1212 0.3173 0.0406
Hf 0.7562 0.9194 0.2404
Hf 0.3359 0.8567 0.0364
Hf 0.2562 0.5806 0.7404
Hf 0.6212 0.1827 0.5406
Hf 0.6641 0.1433 0.9636
Rh 0.0000 0.0000 0.0000
Bi 0.5000 0.5000 0.0000
Rh 0.5000 0.5000 0.5000
Hf 0.8788 0.6827 0.9594
Bi 0.5956 0.8587 0.7484
Hf 0.7438 0.4194 0.2596
Bi 0.4044 0.1413 0.2516
Bi 0.0956 0.6413 0.2484



Density functional theory data (PBE-GGA) for an optimized crystal structure of Tb5Sc2.

Properties
Spin magnetization: 0.00 μB per cell
E: -4.895 eV per atom
ΔE to the lowest computed polymorph: 197 meV/atom
Calculated formation energy: 0.2218 eV/atom

a b c (Å): 3.3913 11.2778 11.2778
angles (deg): 90.00 90.00 90.00
Sites, in units of the cell vectors:
Tb 0.0000 0.0497 0.7965
Tb 0.0000 0.9503 0.2035
Tb 0.0000 0.4503 0.2965
Tb 0.0000 0.5497 0.7035
Tb 0.0000 0.7965 0.9503
Sc 0.5000 0.3122 0.8122
Sc 0.5000 0.1878 0.3122
Tb 0.0000 0.2965 0.5497
Tb 0.0000 0.2035 0.0497
Tb 0.0000 0.7035 0.4503
Tb 0.0000 0.5000 0.0000
Sc 0.5000 0.8122 0.6878
Sc 0.5000 0.6878 0.1878
Tb 0.0000 0.0000 0.5000



Density functional theory data (PBE-GGA) for an optimized crystal structure of Cd8Ag6Hg.

Properties
Spin magnetization: 0.00 μB per cell
E: -1.645 eV per atom
ΔE to the lowest computed polymorph: 0 meV/atom
Calculated formation energy: 0.0040 eV/atom

a b c (Å): 7.4335 7.4335 7.4335
angles (deg): 66.85 66.85 66.85
Sites, in units of the cell vectors:
Cd 0.3318 0.3318 0.3318
Cd 0.6682 0.6682 0.6682
Ag 0.9509 0.6177 0.2876
Cd 0.5428 0.8804 0.2140
Cd 0.8804 0.2140 0.5428
Ag 0.7124 0.0491 0.3823
Ag 0.0491 0.3823 0.7124
Cd 0.7860 0.4572 0.1196
Ag 0.3823 0.7124 0.0491
Cd 0.1196 0.7860 0.4572
Cd 0.2140 0.5428 0.8804
Ag 0.6177 0.2876 0.9509
Cd 0.4572 0.1196 0.7860
Ag 0.2876 0.9509 0.6177
Hg 0.0000 0.0000 0.0000



Density functional theory data (PBE-GGA) for an optimized crystal structure of KScTe2.

Properties
Spin magnetization: 0.73 μB per cell
E: -3.666 eV per atom
Formation energy without anion corrections: -0.238 eV/atom

a b c (Å): 11.5552 11.5552 11.5552
angles (deg): 19.59 19.59 19.59
Sites, in units of the cell vectors:
Te 0.2501 0.2501 0.2501
Te 0.0145 0.0145 0.0145
K 0.5070 0.5070 0.5070
Sc 0.7284 0.7284 0.7284



Density functional theory data (PBE-GGA) for an optimized crystal structure of Sr3Ta5O15.

Properties
Spin magnetization: 0.00 μB per cell
E: -9.010 eV per atom
Formation energy without anion corrections: -2.980 eV/atom

a b c (Å): 12.5902 12.5902 3.9763
angles (deg): 90.00 90.00 90.00
Sites, in units of the cell vectors:
Sr 0.6632 0.8368 0.5000
O 0.1363 0.0623 0.0000
O 0.1587 0.5079 0.0000
O 0.3637 0.5623 0.0000
O 0.0079 0.6587 0.0000
O 0.5000 0.0000 0.5000
O 0.0000 0.5000 0.5000
O 0.6363 0.4377 0.0000
Ta 0.7902 0.0807 0.0000
O 0.4921 0.1587 0.0000
O 0.2941 0.4176 0.5000
Ta 0.9193 0.7902 0.0000
O 0.4176 0.7059 0.5000
O 0.9921 0.3413 0.0000
Ta 0.7098 0.5807 0.0000
O 0.8413 0.4921 0.0000
Ta 0.5000 0.0000 0.0000
O 0.2697 0.7697 0.0000
Sr 0.3368 0.1632 0.5000
Sr 0.8368 0.3368 0.5000
Ta 0.2902 0.4193 0.0000
Sr 0.5000 0.5000 0.5000
O 0.5824 0.2941 0.5000
O 0.7941 0.0824 0.5000
O 0.7303 0.2303 0.0000
O 0.7059 0.5824 0.5000
O 0.3413 0.0079 0.0000
O 0.2059 0.9176 0.5000
Ta 0.0807 0.2098 0.0000
O 0.4377 0.3637 0.0000
O 0.7697 0.7303 0.0000
O 0.8637 0.9377 0.0000
O 0.9176 0.7941 0.5000
Sr 0.0000 0.0000 0.5000
Ta 0.0000 0.5000 0.0000
O 0.6587 0.9921 0.0000
O 0.5079 0.8413 0.0000
O 0.2303 0.2697 0.0000
Ta 0.2098 0.9193 0.0000
Ta 0.5807 0.2902 0.0000
O 0.9377 0.1363 0.0000
Ta 0.4193 0.7098 0.0000
O 0.5623 0.6363 0.0000
Sr 0.1632 0.6632 0.5000
O 0.0824 0.2059 0.5000
O 0.0623 0.8637 0.0000



Density functional theory data (PBE-GGA) for an optimized crystal structure of Pm2SmTeO8.

Properties
Spin magnetization: 0.91 μB per cell
E: -7.144 eV per atom
Formation energy without anion corrections: -2.392 eV/atom

a b c (Å): 4.2681 5.4028 7.2912
angles (deg): 90.00 90.00 95.11
Sites, in units of the cell vectors:
O 0.0658 0.7664 0.2059
Sm 0.0000 0.0000 0.5000
Pm 0.5000 0.5000 0.7534
Te 0.0000 0.0000 0.0000
O 0.9342 0.2336 0.7941
O 0.5265 0.7520 0.5000
O 0.4066 0.1933 0.0000
Pm 0.5000 0.5000 0.2466
O 0.4735 0.2480 0.5000
O 0.5934 0.8067 0.0000
O 0.0658 0.7664 0.7941
O 0.9342 0.2336 0.2059



Density functional theory data (PBE-GGA) for an optimized crystal structure of HoZnGe.

Properties
Spin magnetization: 0.00 μB per cell
E: -4.111 eV per atom
Calculated formation energy: -0.6211 eV/atom

a b c (Å): 4.0309 4.1713 4.1713
angles (deg): 120.00 90.00 90.00
Sites, in units of the cell vectors:
Zn 0.1675 0.3333 0.6667
Ho 0.6666 0.6667 0.3333
Ge 0.1659 0.0000 0.0000



Density functional theory data (PBE-GGA) for an optimized crystal structure of GaFeSbI2.

Properties
Spin magnetization: 4.01 μB per cell
E: -2.912 eV per atom
ΔE to the lowest computed polymorph: 528 meV/atom
Formation energy without anion corrections: 0.830 eV/atom

a b c (Å): 5.5745 5.5745 5.4610
angles (deg): 90.00 90.00 90.00
Sites, in units of the cell vectors:
Fe 0.5000 0.5000 0.5000
Sb 0.0000 0.0000 0.5000
Ga 0.0000 0.0000 0.0000
I 0.5000 0.0000 0.0000
I 0.0000 0.5000 0.0000



Density functional theory data (PBE-GGA) for an optimized crystal structure of Ta2SbCl.

Properties
Spin magnetization: 0.00 μB per cell
E: -7.049 eV per atom
ΔE to the lowest computed polymorph: 583 meV/atom
Formation energy without anion corrections: 0.369 eV/atom

a b c (Å): 5.6325 5.6325 5.6325
angles (deg): 149.83 117.80 70.68
Sites, in units of the cell vectors:
Sb 0.7500 0.2500 0.5000
Ta 0.4830 0.4830 0.0000
Ta 0.0170 0.0170 0.0000
Cl 0.2500 0.7500 0.5000



Density functional theory data (PBE-GGA) for an optimized crystal structure of K2DyBe2S4.

Properties
Spin magnetization: 0.00 μB per cell
E: -4.631 eV per atom
Formation energy without anion corrections: -1.213 eV/atom

a b c (Å): 3.6730 7.8500 7.5136
angles (deg): 111.40 104.15 90.00
Sites, in units of the cell vectors:
Dy 0.0000 0.0000 0.0000
S 0.7927 0.8587 0.5854
S 0.4673 0.2347 0.9346
K 0.1274 0.5489 0.2548
S 0.5327 0.7653 0.0654
Be 0.3291 0.0238 0.6582
K 0.8726 0.4511 0.7452
Be 0.6709 0.9762 0.3418
S 0.2073 0.1413 0.4146



Density functional theory data (PBE-GGA) for an optimized crystal structure of Tb6Dy12Th.

Properties
Spin magnetization: 0.00 μB per cell
E: -4.291 eV per atom
ΔE to the lowest computed polymorph: 322 meV/atom
Calculated formation energy: 0.4680 eV/atom

a b c (Å): 9.3743 9.3743 9.3743
angles (deg): 108.84 108.84 108.84
Sites, in units of the cell vectors:
Th 0.0000 0.0000 0.0000
Dy 0.8922 0.1078 0.5000
Dy 0.8922 0.5000 0.1078
Dy 0.6285 0.6285 0.8360
Dy 0.6285 0.8360 0.6285
Tb 0.3260 0.3260 0.7620
Dy 0.5000 0.1078 0.8922
Tb 0.3260 0.7620 0.3260
Dy 0.1078 0.5000 0.8922
Tb 0.7620 0.3260 0.3260
Dy 0.3715 0.3715 0.1640
Tb 0.6740 0.2380 0.6740
Dy 0.8360 0.6285 0.6285
Dy 0.3715 0.1640 0.3715
Dy 0.5000 0.8922 0.1078
Tb 0.2380 0.6740 0.6740
Dy 0.1078 0.8922 0.5000
Tb 0.6740 0.6740 0.2380
Dy 0.1640 0.3715 0.3715



Density functional theory data (PBE-GGA) for an optimized crystal structure of AcHgGe.

Properties
Spin magnetization: 0.00 μB per cell
E: -3.272 eV per atom
ΔE to the lowest computed polymorph: 279 meV/atom
Calculated formation energy: -0.2630 eV/atom

a b c (Å): 4.9819 8.8664 8.8664
angles (deg): 85.47 73.68 73.68
Sites, in units of the cell vectors:
Hg 0.3804 0.6196 0.6196
Ge 0.2127 0.0000 0.5747
Hg 0.0000 0.6196 0.3804
Ac 0.2747 0.2253 0.2253
Ac 0.7253 0.7747 0.7747
Ac 0.5000 0.7747 0.2253
Ac 0.5000 0.2253 0.7747
Ge 0.7873 0.0000 0.4253
Ge 0.7873 0.4253 0.0000
Ge 0.2127 0.5747 0.0000
Hg 0.6196 0.3804 0.3804
Hg 0.0000 0.3804 0.6196



Density functional theory data (PBE-GGA) for an optimized crystal structure of Te2RuRh2.

Properties
Spin magnetization: 1.06 μB per cell
E: -5.634 eV per atom
ΔE to the lowest computed polymorph: 229 meV/atom
Formation energy without anion corrections: 0.419 eV/atom

a b c (Å): 3.6975 3.6975 7.6265
angles (deg): 75.97 75.97 90.00
Sites, in units of the cell vectors:
Rh 0.2500 0.7500 0.5000
Te 0.3880 0.3880 0.2240
Te 0.6120 0.6120 0.7760
Ru 0.0000 0.0000 0.0000
Rh 0.7500 0.2500 0.5000



Density functional theory data (PBE-GGA) for an optimized crystal structure of YGeTe4.

Properties
Spin magnetization: 0.00 μB per cell
E: -4.397 eV per atom
Formation energy without anion corrections: -0.456 eV/atom

a b c (Å): 6.5429 6.5429 10.1067
angles (deg): 90.00 90.00 103.26
Sites, in units of the cell vectors:
Te 0.6811 0.6811 0.5606
Te 0.3189 0.3189 0.4394
Te 0.3046 0.8824 0.7500
Ge 0.9157 0.9157 0.7500
Te 0.6811 0.6811 0.9394
Te 0.3189 0.3189 0.0606
Ge 0.0843 0.0843 0.2500
Y 0.3745 0.3745 0.7500
Te 0.8824 0.3046 0.7500
Y 0.6255 0.6255 0.2500
Te 0.6954 0.1176 0.2500
Te 0.1176 0.6954 0.2500



Density functional theory data (PBE-GGA) for an optimized crystal structure of Rb6IBr3Cl2.

Properties
Spin magnetization: 0.00 μB per cell
E: -3.101 eV per atom
Formation energy without anion corrections: -1.762 eV/atom

a b c (Å): 4.9124 9.9801 11.0157
angles (deg): 102.28 102.88 90.00
Sites, in units of the cell vectors:
Rb 0.6736 0.0953 0.3472
Rb 0.0048 0.2683 0.0095
Cl 0.1688 0.3381 0.3375
Rb 0.6700 0.5795 0.3400
Rb 0.9952 0.7317 0.9905
Cl 0.8312 0.6619 0.6625
I 0.5000 0.0000 0.0000
Br 0.1634 0.8318 0.3269
Rb 0.3264 0.9047 0.6528
Br 0.5000 0.5000 0.0000
Rb 0.3300 0.4205 0.6600
Br 0.8366 0.1682 0.6731



Density functional theory data (PBE-GGA) for an optimized crystal structure of RbTlSnTe3.

Properties
Spin magnetization: 0.00 μB per cell
E: -3.192 eV per atom
Formation energy without anion corrections: -0.398 eV/atom

a b c (Å): 7.1561 7.1561 10.0028
angles (deg): 76.97 76.97 95.32
Sites, in units of the cell vectors:
Sn 0.9689 0.9689 0.8640
Te 0.2143 0.2143 0.6135
Tl 0.8075 0.1925 0.5000
Te 0.4061 0.9710 0.1694
Rb 0.5414 0.5414 0.7601
Te 0.0290 0.5939 0.8306
Te 0.7857 0.7857 0.3865
Te 0.9710 0.4061 0.1694
Rb 0.4586 0.4586 0.2399
Sn 0.0311 0.0311 0.1360
Tl 0.1925 0.8075 0.5000
Te 0.5939 0.0290 0.8306



Density functional theory data (PBE-GGA) for an optimized crystal structure of HfThCo2H8.

Properties
Spin magnetization: 1.81 μB per cell
E: -5.102 eV per atom

a b c (Å): 4.3293 4.3293 6.9382
angles (deg): 71.82 71.82 60.00
Sites, in units of the cell vectors:
H 0.3241 0.8851 0.1917
H 0.1149 0.4010 0.8083
Hf 0.0000 0.0000 0.0000
H 0.8211 0.8211 0.5367
H 0.5990 0.3241 0.1917
Co 0.7381 0.7381 0.7856
Co 0.2619 0.2619 0.2144
H 0.4010 0.6759 0.8083
Th 0.5000 0.5000 0.5000
H 0.8851 0.5990 0.1917
H 0.6759 0.1149 0.8083
H 0.1789 0.1789 0.4633



Density functional theory data (PBE-GGA) for an optimized crystal structure of PmHoSb.

Properties
Spin magnetization: 0.00 μB per cell
E: -5.249 eV per atom
ΔE to the lowest computed polymorph: 59 meV/atom
Formation energy without anion corrections: -0.766 eV/atom

a b c (Å): 6.4063 6.4063 6.6043
angles (deg): 90.00 90.00 138.89
Sites, in units of the cell vectors:
Pm 0.6931 0.3069 0.2500
Sb 0.3820 0.6180 0.2500
Pm 0.3069 0.6931 0.7500
Ho 0.0000 0.0000 0.5000
Ho 0.0000 0.0000 0.0000
Sb 0.6180 0.3820 0.7500



Density functional theory data (PBE-GGA) for an optimized crystal structure of Hf3TcH2.

Properties
Spin magnetization: 0.00 μB per cell
E: -7.985 eV per atom

a b c (Å): 3.2285 5.6832 10.0293
angles (deg): 99.97 99.26 90.00
Sites, in units of the cell vectors:
H 0.0294 0.1875 0.0589
H 0.7418 0.3932 0.4837
Hf 0.7108 0.7446 0.4216
Hf 0.5682 0.3870 0.1365
Hf 0.9259 0.1179 0.8519
Tc 0.3312 0.8473 0.6623
Hf 0.0741 0.8821 0.1481
H 0.9706 0.8125 0.9411
Hf 0.4318 0.6130 0.8635
Hf 0.2892 0.2554 0.5784
Tc 0.6688 0.1527 0.3377
H 0.2582 0.6068 0.5163